A relaxed structure of Re2SiCl, computed with PBE-GGA.

Values from the calculation:
The uncorrected formation energy is 202 kJ/mol of formula units.

Unit cell a=2.8873 b=4.9006 c=9.6789 alpha=90.00 beta=90.00 gamma=90.00
Closest atoms and distances in Å follow each position.
Space group Cmm2 (No. 35)
One atom of each set of equivalent atoms:
Re  0.0000  0.0000  0.0000 [2 per cell]  2 Cl 2.48, 2 Re 2.62
Re  0.0000  0.5000  0.2263 [2 per cell]  2 Si 2.61, 8 Re 2.62-2.89
Si  0.0000  0.0000  0.4504 [2 per cell]  2 Re 2.61, 6 Si 2.84-2.89
Cl  0.0000  0.5000  0.7910 [2 per cell]  2 Re 2.48

A relaxed structure of LaMg2Se, computed with PBE-GGA.

Values from the calculation:
The uncorrected formation energy is -276 kJ/mol of formula units.

Unit cell a=3.7056 b=4.8639 c=11.4332 alpha=90.00 beta=90.00 gamma=90.00
Closest atoms and distances in Å follow each position.
Space group Immm (No. 71)
One atom of each set of equivalent atoms:
La  0.0000  0.0000  0.0000 [2 per cell]  4 Se 3.06
Mg  0.0000  0.5000  0.2209 [4 per cell]  4 Mg 3.13, 2 Se 3.13
Se  0.0000  0.0000  0.5000 [2 per cell]  4 La 3.06, 4 Mg 3.13

A relaxed structure of PSeN2Cl, computed with PBE-GGA.

Values from the calculation:
The uncorrected formation energy is 1163 kJ/mol of formula units.

Unit cell a=3.8563 b=3.8563 c=5.0394 alpha=90.00 beta=90.00 gamma=90.00
Closest atoms and distances in Å follow each position.
Space group P4/mmm (No. 123)
One atom of each set of equivalent atoms:
P  0.0000  0.0000  0.0000 [1 per cell]  4 Se 2.73
Se  0.5000  0.5000  0.0000 [1 per cell]  2 Cl 2.52, 4 P 2.73
N  0.0000  0.5000  0.5000 [2 per cell]  2 Cl 1.93
Cl  0.5000  0.5000  0.5000 [1 per cell]  4 N 1.93

A relaxed structure of TlCu2Pb2, computed with PBE-GGA.

Values from the calculation:
As for the formation enthalpy at 0 K: 311 meV/atom.

Unit cell a=8.5365 b=8.5365 c=3.2655 alpha=90.00 beta=90.00 gamma=90.00
Closest atoms and distances in Å follow each position.
Space group P4/mbm (No. 127)
One atom of each set of equivalent atoms:
Tl  0.0000  0.0000  0.0000 [2 per cell]  2 Tl 3.27, 4 Pb 3.28, 8 Cu 3.64
Cu  0.1489  0.3511  0.5000 [4 per cell]  6 Pb 2.98-2.99, 2 Cu 3.27
Pb  0.1446  0.6446  0.0000 [4 per cell]  6 Cu 2.98-2.99, 2 Pb 3.27, 2 Tl 3.28

A relaxed structure of LiIn2Hg, computed with PBE-GGA.

Values from the calculation:
As for the formation enthalpy at 0 K: -121 meV/atom.

Unit cell a=10.4977 b=3.6203 c=5.0588 alpha=90.00 beta=101.60 gamma=90.00
Closest atoms and distances in Å follow each position.
Space group C2/m (No. 12)
One atom of each set of equivalent atoms:
Li  0.0000  0.0000  0.0000 [2 per cell]  4 Hg 3.11, 6 In 3.13-3.21
In  0.2487  0.5000  0.2453 [4 per cell]  4 In 3.08-3.14, 3 Li 3.13-3.21, 3 Hg 3.13-3.25
Hg  0.0000  0.5000  0.5000 [2 per cell]  4 Li 3.11, 6 In 3.13-3.25

A relaxed structure of TmLuRe, computed with PBE-GGA.

Values from the calculation:
As for the formation enthalpy at 0 K: 44 meV/atom.

Unit cell a=3.3996 b=3.3996 c=12.3795 alpha=90.00 beta=90.00 gamma=90.00
Closest atoms and distances in Å follow each position.
Space group I4mm (No. 107)
One atom of each set of equivalent atoms:
Tm  0.0000  0.0000  0.0000 [2 per cell]  4 Re 2.91, 1 Lu 3.24
Lu  0.0000  0.0000  0.2616 [2 per cell]  4 Re 2.89
Re  0.0000  0.0000  0.6320 [2 per cell]  4 Lu 2.89, 4 Tm 2.91

Magnetization? In order: 0.00; 0.00; 1.05; 0.00; 0.00; 0.00 μB per cell.